First-principles (GGA-PBE) data for a geometry-optimized CaUNiS4 structure, as listed in Alexandria.

a = 6.384 Å, b = 5.654 Å, c = 7.883 Å
α = 90.00°, β = 106.14°, γ = 90.00°
Space group P2_1/m (No. 11)
One atom of each set of equivalent atoms:
Ca (0.234, 0.250, 0.437) x2
U (0.247, 0.250, 0.940) x2
Ni (0.263, 0.750, 0.168) x2
S (0.063, 0.750, 0.363) x2
S (0.069, 0.750, 0.896) x2
S (0.482, 0.513, 0.761) x4

**Fermi-level density of states**: 4.54 states/eV/f.u.
**Size of the total moment**: 1.18 μB per formula unit
**Formation energy from raw total energies**: -1.27 eV/atom
**VASP energy**: -0.4670 Ry per atom